(1)
DFT (GGA-PBE) results for Tb4Pr3Sc after structural relaxation.

Geometry as POSCAR:
```
Tb4Pr3Sc
1.0
3.4089 0.0000 -0.8250
-1.2037 10.5320 -4.9735
0.2598 -2.4469 8.5285
Pr Tb Sc
3 4 1
direct
0.7610 0.7610 0.5220 Pr
0.0000 0.5000 0.0000 Pr
0.2390 0.2390 0.4780 Pr
0.6333 0.8912 0.2666 Tb
0.3668 0.6244 0.7337 Tb
0.6332 0.3756 0.2663 Tb
0.3667 0.1088 0.7334 Tb
0.5000 0.0000 0.0000 Sc
```

DFT formation energy = 0.129 eV per atom
Distance to the lowest polymorph of the same formula = 89 meV/atom
Total magnetization = 0.000 μB/atom

---

(2)
DFT (GGA-PBE) results for Ce3Pm2ErP6 after structural relaxation.

Geometry as POSCAR:
```
Ce3Pm2ErP6
1.0
-1.9230 -6.6107 -1.6231
3.4910 3.9316 -4.7318
5.2645 -1.3753 4.5047
P Ce Pm Er
6 3 2 1
direct
0.4114 0.0837 0.2514 P
0.0837 0.4114 0.2514 P
0.9163 0.5886 0.7486 P
0.2433 0.2433 0.7475 P
0.7567 0.7567 0.2525 P
0.5886 0.9163 0.7486 P
0.1677 0.8323 0.5000 Ce
0.5000 0.5000 0.5000 Ce
0.8323 0.1677 0.5000 Ce
0.6663 0.3337 0.0000 Pm
0.3337 0.6663 0.0000 Pm
0.0000 0.0000 0.0000 Er
```

DFT formation energy = -1.541 eV per atom
Total magnetization = 0.122 μB/atom

---

(3)
DFT (GGA-PBE) results for Er6Te5As after structural relaxation.

Geometry as POSCAR:
```
Er6Te5As
1.0
7.2906 -1.1726 -0.9029
-2.8193 6.8249 -0.9029
-0.4266 -0.5393 7.3842
Er Te As
6 5 1
direct
0.2233 0.2233 0.7624 Er
0.6203 0.9255 0.7719 Er
0.0745 0.3797 0.2281 Er
0.7767 0.7767 0.2376 Er
0.3797 0.0745 0.2281 Er
0.9255 0.6203 0.7719 Er
0.5000 0.5000 0.5000 Te
0.3358 0.6642 0.0000 Te
0.8238 0.1762 0.5000 Te
0.1762 0.8238 0.5000 Te
0.6642 0.3358 0.0000 Te
0.0000 0.0000 0.0000 As
```

Formation energy without anion corrections = -1.308 eV/atom
Total magnetization = 0.000 μB/atom

---

(4)
DFT (GGA-PBE) results for HfZn2Pd after structural relaxation.

Geometry as POSCAR:
```
HfZn2Pd
1.0
3.0358 0.0000 0.0000
1.5179 2.6291 0.0000
1.5179 0.8764 8.6049
Zn Hf Pd
2 1 1
direct
0.2580 0.2580 0.2260 Zn
0.7420 0.7420 0.7740 Zn
0.5000 0.5000 0.5000 Hf
0.0000 0.0000 0.0000 Pd
```

DFT formation energy = -0.208 eV per atom
Total magnetization = 0.000 μB/atom

---

Summary of VASP energy in eV/cell
-38.16, -82.81, -63.43, -18.53
(order as listed above)